(1)
Compound: Cr3PdN
Source: Alexandria via LeMat-Bulk
Functional: meta-GGA SCAN
Structure: PBEsol geometry

abc: 3.785 3.785 3.785
angles: 90.00 90.00 90.00
Sites, in units of the cell vectors:
Cr (0.000, 0.000, 0.500)
Cr (0.000, 0.500, 0.000)
Cr (0.500, 0.000, 0.000)
Pd (0.500, 0.500, 0.500)
N (0.000, 0.000, 0.000)

Values from the calculation:
VASP energy in eV per atom: -19.6061
Crystal system: cubic
Raw formation energy in eV per atom: -0.1622



(2)
Compound: CrPdSN2
Source: Alexandria via LeMat-Bulk
Functional: meta-GGA SCAN
Structure: PBEsol geometry

abc: 3.558 3.558 4.922
angles: 90.00 90.00 90.00
Sites, in units of the cell vectors:
Cr (0.000, 0.000, 0.000)
Pd (0.500, 0.500, 0.500)
S (0.000, 0.000, 0.500)
N (0.000, 0.500, 0.000)
N (0.500, 0.000, 0.000)

Values from the calculation:
VASP energy in eV per atom: -15.4780
Crystal system: tetragonal
Raw formation energy in eV per atom: 0.3959



(3)
Compound: CrPdS2N
Source: Alexandria via LeMat-Bulk
Functional: meta-GGA SCAN
Structure: PBEsol geometry

abc: 4.813 4.813 3.591
angles: 90.00 90.00 90.00
Sites, in units of the cell vectors:
Cr (0.000, 0.000, 0.000)
Pd (0.500, 0.500, 0.500)
S (0.000, 0.500, 0.500)
S (0.500, 0.000, 0.500)
N (0.500, 0.500, 0.000)

Values from the calculation:
VASP energy in eV per atom: -15.2915
Crystal system: tetragonal
Raw formation energy in eV per atom: 0.6498



(4)
Compound: CrSnPd2N
Source: Alexandria via LeMat-Bulk
Functional: meta-GGA SCAN
Structure: PBEsol geometry

abc: 4.346 4.346 3.715
angles: 90.00 90.00 90.00
Sites, in units of the cell vectors:
Cr (0.000, 0.000, 0.000)
Sn (0.500, 0.500, 0.000)
Pd (0.000, 0.500, 0.500)
Pd (0.500, 0.000, 0.500)
N (0.000, 0.000, 0.500)

Values from the calculation:
VASP energy in eV per atom: -25.9288
Crystal system: tetragonal
Raw formation energy in eV per atom: -0.0997



(5)
Compound: CrTePdN2
Source: Alexandria via LeMat-Bulk
Functional: meta-GGA SCAN
Structure: PBEsol geometry

abc: 3.901 3.901 5.700
angles: 90.00 90.00 90.00
Sites, in units of the cell vectors:
Cr (0.000, 0.000, 0.000)
Te (0.500, 0.500, 0.000)
Pd (0.500, 0.500, 0.500)
N (0.000, 0.500, 0.500)
N (0.500, 0.000, 0.500)

Values from the calculation:
VASP energy in eV per atom: -20.2620
Crystal system: tetragonal
Raw formation energy in eV per atom: 1.1365



(6)
Compound: CrPtSe2N
Source: Alexandria via LeMat-Bulk
Functional: meta-GGA SCAN
Structure: PBEsol geometry

abc: 5.130 5.130 3.606
angles: 90.00 90.00 90.00
Sites, in units of the cell vectors:
Cr (0.000, 0.000, 0.000)
Pt (0.500, 0.500, 0.500)
Se (0.000, 0.500, 0.500)
Se (0.500, 0.000, 0.500)
N (0.500, 0.500, 0.000)

Values from the calculation:
VASP energy in eV per atom: -27.1813
Crystal system: tetragonal
Raw formation energy in eV per atom: 0.4239



(7)
Compound: Cr3ReN
Source: Alexandria via LeMat-Bulk
Functional: meta-GGA SCAN
Structure: PBEsol geometry

abc: 3.776 3.776 3.776
angles: 90.00 90.00 90.00
Sites, in units of the cell vectors:
Cr (0.000, 0.000, 0.500)
Cr (0.000, 0.500, 0.000)
Cr (0.500, 0.000, 0.000)
Re (0.500, 0.500, 0.500)
N (0.000, 0.000, 0.000)

Values from the calculation:
VASP energy in eV per atom: -27.2716
Crystal system: cubic
Raw formation energy in eV per atom: -0.1631



(8)
Compound: CrReN2
Source: Alexandria via LeMat-Bulk
Functional: meta-GGA SCAN
Structure: PBEsol geometry

abc: 6.571 6.571 6.571
angles: 23.48 23.48 23.48
Sites, in units of the cell vectors:
Cr (0.000, 0.000, 0.000)
Re (0.500, 0.500, 0.500)
N (0.395, 0.395, 0.395)
N (0.605, 0.605, 0.605)

Values from the calculation:
VASP energy in eV per atom: -27.0018
Crystal system: trigonal
Raw formation energy in eV per atom: 0.0143



(9)
Compound: CrReS2N
Source: Alexandria via LeMat-Bulk
Functional: meta-GGA SCAN
Structure: PBEsol geometry

abc: 4.721 4.721 3.705
angles: 90.00 90.00 90.00
Sites, in units of the cell vectors:
Cr (0.000, 0.000, 0.000)
Re (0.500, 0.500, 0.500)
S (0.000, 0.500, 0.500)
S (0.500, 0.000, 0.500)
N (0.500, 0.500, 0.000)

Values from the calculation:
VASP energy in eV per atom: -23.3878
Crystal system: tetragonal
Raw formation energy in eV per atom: 0.2181



(10)
Compound: CrReSeN2
Source: Alexandria via LeMat-Bulk
Functional: meta-GGA SCAN
Structure: PBEsol geometry

abc: 3.648 3.648 4.986
angles: 90.00 90.00 90.00
Sites, in units of the cell vectors:
Cr (0.000, 0.000, 0.000)
Re (0.500, 0.500, 0.500)
Se (0.000, 0.000, 0.500)
N (0.000, 0.500, 0.000)
N (0.500, 0.000, 0.000)

Values from the calculation:
VASP energy in eV per atom: -24.5331
Crystal system: tetragonal
Raw formation energy in eV per atom: 1.0955



(11)
Compound: Cr3RhN
Source: Alexandria via LeMat-Bulk
Functional: meta-GGA SCAN
Structure: PBEsol geometry

abc: 3.766 3.766 3.766
angles: 90.00 90.00 90.00
Sites, in units of the cell vectors:
Cr (0.000, 0.000, 0.500)
Cr (0.000, 0.500, 0.000)
Cr (0.500, 0.000, 0.000)
Rh (0.500, 0.500, 0.500)
N (0.000, 0.000, 0.000)

Values from the calculation:
VASP energy in eV per atom: -19.8973
Crystal system: cubic
Raw formation energy in eV per atom: -0.2540



(12)
Compound: CrRhSe2N
Source: Alexandria via LeMat-Bulk
Functional: meta-GGA SCAN
Structure: PBEsol geometry

abc: 4.753 4.753 3.411
angles: 90.00 90.00 90.00
Sites, in units of the cell vectors:
Cr (0.000, 0.000, 0.000)
Rh (0.500, 0.500, 0.500)
Se (0.000, 0.500, 0.000)
Se (0.500, 0.000, 0.000)
N (0.000, 0.000, 0.500)

Values from the calculation:
VASP energy in eV per atom: -19.9804
Crystal system: tetragonal
Raw formation energy in eV per atom: 0.3405



(13)
Compound: CrRu3N
Source: Alexandria via LeMat-Bulk
Functional: meta-GGA SCAN
Structure: PBEsol geometry

abc: 4.299 4.299 4.299
angles: 90.00 90.00 90.00
Sites, in units of the cell vectors:
Cr (0.000, 0.000, 0.000)
Ru (0.000, 0.000, 0.500)
Ru (0.000, 0.500, 0.000)
Ru (0.500, 0.000, 0.000)
N (0.500, 0.500, 0.500)

Values from the calculation:
VASP energy in eV per atom: -23.9294
Crystal system: cubic
Raw formation energy in eV per atom: 2.5015



(14)
Compound: CrS3N
Source: Alexandria via LeMat-Bulk
Functional: meta-GGA SCAN
Structure: PBEsol geometry

abc: 4.397 4.397 4.397
angles: 90.00 90.00 90.00
Sites, in units of the cell vectors:
Cr (0.000, 0.000, 0.000)
S (0.000, 0.000, 0.500)
S (0.000, 0.500, 0.000)
S (0.500, 0.000, 0.000)
N (0.500, 0.500, 0.500)

Values from the calculation:
VASP energy in eV per atom: -10.2122
Crystal system: cubic
Raw formation energy in eV per atom: 1.0998



(15)
Compound: ScCrS2N
Source: Alexandria via LeMat-Bulk
Functional: meta-GGA SCAN
Structure: PBEsol geometry

abc: 4.604 4.604 3.516
angles: 90.00 90.00 90.00
Sites, in units of the cell vectors:
Sc (0.000, 0.000, 0.000)
Cr (0.500, 0.500, 0.500)
S (0.000, 0.500, 0.500)
S (0.500, 0.000, 0.500)
N (0.500, 0.500, 0.000)

Values from the calculation:
VASP energy in eV per atom: -13.0188
Crystal system: tetragonal
Raw formation energy in eV per atom: -0.7850



(16)
Compound: CrSiS2N
Source: Alexandria via LeMat-Bulk
Functional: meta-GGA SCAN
Structure: PBEsol geometry

abc: 4.608 4.608 3.474
angles: 90.00 90.00 90.00
Sites, in units of the cell vectors:
Cr (0.000, 0.000, 0.000)
Si (0.500, 0.500, 0.500)
S (0.000, 0.500, 0.000)
S (0.500, 0.000, 0.000)
N (0.000, 0.000, 0.500)

Values from the calculation:
VASP energy in eV per atom: -11.1423
Crystal system: tetragonal
Raw formation energy in eV per atom: 0.2472



(17)
Compound: CrSiSN2
Source: Alexandria via LeMat-Bulk
Functional: meta-GGA SCAN
Structure: PBEsol geometry

abc: 3.408 3.408 5.614
angles: 90.00 90.00 90.00
Sites, in units of the cell vectors:
Cr (0.000, 0.000, 0.000)
Si (0.500, 0.500, 0.500)
S (0.500, 0.500, 0.000)
N (0.000, 0.500, 0.500)
N (0.500, 0.000, 0.500)

Values from the calculation:
VASP energy in eV per atom: -11.2259
Crystal system: tetragonal
Raw formation energy in eV per atom: 0.0963



(18)
Compound: CrSnS2N
Source: Alexandria via LeMat-Bulk
Functional: meta-GGA SCAN
Structure: PBEsol geometry

abc: 5.014 5.014 3.922
angles: 90.00 90.00 90.00
Sites, in units of the cell vectors:
Cr (0.000, 0.000, 0.000)
Sn (0.500, 0.500, 0.500)
S (0.000, 0.500, 0.500)
S (0.500, 0.000, 0.500)
N (0.500, 0.500, 0.000)

Values from the calculation:
VASP energy in eV per atom: -15.8570
Crystal system: tetragonal
Raw formation energy in eV per atom: 0.7136



(19)
Compound: CrTcSN2
Source: Alexandria via LeMat-Bulk
Functional: meta-GGA SCAN
Structure: PBEsol geometry

abc: 3.672 3.672 5.578
angles: 90.00 90.00 90.00
Sites, in units of the cell vectors:
Cr (0.000, 0.000, 0.000)
Tc (0.000, 0.000, 0.500)
S (0.500, 0.500, 0.000)
N (0.000, 0.500, 0.500)
N (0.500, 0.000, 0.500)

Values from the calculation:
VASP energy in eV per atom: -15.8628
Crystal system: tetragonal
Raw formation energy in eV per atom: 0.4682



(20)
Compound: TiCrS2N
Source: Alexandria via LeMat-Bulk
Functional: meta-GGA SCAN
Structure: PBEsol geometry

abc: 4.577 4.577 3.479
angles: 90.00 90.00 90.00
Sites, in units of the cell vectors:
Ti (0.000, 0.000, 0.000)
Cr (0.500, 0.500, 0.500)
S (0.000, 0.500, 0.500)
S (0.500, 0.000, 0.500)
N (0.500, 0.500, 0.000)

Values from the calculation:
VASP energy in eV per atom: -12.9483
Crystal system: tetragonal
Raw formation energy in eV per atom: -0.3559



(21)
Compound: TiCrSN2
Source: Alexandria via LeMat-Bulk
Functional: meta-GGA SCAN
Structure: PBEsol geometry

abc: 3.602 3.602 4.603
angles: 90.00 90.00 90.00
Sites, in units of the cell vectors:
Ti (0.000, 0.000, 0.000)
Cr (0.500, 0.500, 0.500)
S (0.500, 0.500, 0.000)
N (0.000, 0.500, 0.500)
N (0.500, 0.000, 0.500)

Values from the calculation:
VASP energy in eV per atom: -12.5699
Crystal system: tetragonal
Raw formation energy in eV per atom: -0.0449



(22)
Compound: TlCrS2N
Source: Alexandria via LeMat-Bulk
Functional: meta-GGA SCAN
Structure: PBEsol geometry

abc: 4.749 4.749 3.543
angles: 90.00 90.00 90.00
Sites, in units of the cell vectors:
Tl (0.000, 0.000, 0.000)
Cr (0.500, 0.500, 0.500)
S (0.000, 0.500, 0.500)
S (0.500, 0.000, 0.500)
N (0.500, 0.500, 0.000)

Values from the calculation:
VASP energy in eV per atom: -23.9057
Crystal system: tetragonal
Raw formation energy in eV per atom: -0.0476



(23)
Compound: ZrCrSN2
Source: Alexandria via LeMat-Bulk
Functional: meta-GGA SCAN
Structure: PBEsol geometry

abc: 3.673 3.673 4.507
angles: 90.00 90.00 90.00
Sites, in units of the cell vectors:
Zr (0.000, 0.000, 0.000)
Cr (0.500, 0.500, 0.500)
S (0.500, 0.500, 0.000)
N (0.000, 0.500, 0.500)
N (0.500, 0.000, 0.500)

Values from the calculation:
VASP energy in eV per atom: -15.7610
Crystal system: tetragonal
Raw formation energy in eV per atom: -0.3022



(24)
Compound: CrSbSeN2
Source: Alexandria via LeMat-Bulk
Functional: meta-GGA SCAN
Structure: PBEsol geometry

abc: 3.815 3.815 4.970
angles: 90.00 90.00 90.00
Sites, in units of the cell vectors:
Cr (0.000, 0.000, 0.000)
Sb (0.500, 0.500, 0.500)
Se (0.000, 0.000, 0.500)
N (0.000, 0.500, 0.000)
N (0.500, 0.000, 0.000)

Values from the calculation:
VASP energy in eV per atom: -18.3472
Crystal system: tetragonal
Raw formation energy in eV per atom: 0.5140



(25)
Compound: CrSb2TeN
Source: Alexandria via LeMat-Bulk
Functional: meta-GGA SCAN
Structure: PBEsol geometry

abc: 4.676 4.676 4.573
angles: 90.00 90.00 90.00
Sites, in units of the cell vectors:
Cr (0.000, 0.000, 0.000)
Sb (0.000, 0.500, 0.500)
Sb (0.500, 0.000, 0.500)
Te (0.500, 0.500, 0.000)
N (0.500, 0.500, 0.500)

Values from the calculation:
VASP energy in eV per atom: -27.1871
Crystal system: tetragonal
Raw formation energy in eV per atom: 0.7025



(26)
Compound: Sc2CrN
Source: Alexandria via LeMat-Bulk
Functional: meta-GGA SCAN
Structure: PBEsol geometry

abc: 7.965 7.965 7.965
angles: 22.38 22.38 22.38
Sites, in units of the cell vectors:
Sc (0.114, 0.114, 0.114)
Sc (0.886, 0.886, 0.886)
Cr (0.000, 0.000, 0.000)
N (0.500, 0.500, 0.500)

Values from the calculation:
VASP energy in eV per atom: -14.7945
Crystal system: trigonal
Raw formation energy in eV per atom: -0.7570



(27)
Compound: Sc3CrN
Source: Alexandria via LeMat-Bulk
Functional: meta-GGA SCAN
Structure: PBEsol geometry

abc: 4.395 4.395 4.395
angles: 90.00 90.00 90.00
Sites, in units of the cell vectors:
Sc (0.000, 0.000, 0.500)
Sc (0.000, 0.500, 0.000)
Sc (0.500, 0.000, 0.000)
Cr (0.500, 0.500, 0.500)
N (0.000, 0.000, 0.000)

Values from the calculation:
VASP energy in eV per atom: -14.9105
Crystal system: cubic
Raw formation energy in eV per atom: -0.8330



(28)
Compound: ScCrTe2N
Source: Alexandria via LeMat-Bulk
Functional: meta-GGA SCAN
Structure: PBEsol geometry

abc: 5.604 5.604 3.821
angles: 90.00 90.00 90.00
Sites, in units of the cell vectors:
Sc (0.000, 0.000, 0.000)
Cr (0.500, 0.500, 0.500)
Te (0.000, 0.500, 0.000)
Te (0.500, 0.000, 0.000)
N (0.000, 0.000, 0.500)

Values from the calculation:
VASP energy in eV per atom: -23.1376
Crystal system: tetragonal
Raw formation energy in eV per atom: 0.1454



(29)
Compound: CrSnSe2N
Source: Alexandria via LeMat-Bulk
Functional: meta-GGA SCAN
Structure: PBEsol geometry

abc: 5.020 5.020 3.545
angles: 90.00 90.00 90.00
Sites, in units of the cell vectors:
Cr (0.000, 0.000, 0.000)
Sn (0.500, 0.500, 0.500)
Se (0.000, 0.500, 0.000)
Se (0.500, 0.000, 0.000)
N (0.000, 0.000, 0.500)

Values from the calculation:
VASP energy in eV per atom: -20.8271
Crystal system: tetragonal
Raw formation energy in eV per atom: -0.0764